1.
Computed, not measured: a relaxed structure of BaSrInCu at the GGA-PBE level of DFT.

Properties
V: 134 Å³/cell
ΔH_f (0 K): -113 meV/atom
electronic total energy: -2.723 eV per atom
space group: F-43m
Fermi-level density of states: 3.997 states/eV per cell

POSCAR file:
```
BaSrInCu
1.0
-1.5429 -1.6572 -5.2748
-4.5522 -3.4227 -0.7165
-4.8019 2.0690 -2.3687
Sr Ba Cu In
1 1 1 1
direct
0.5000 0.5000 0.5000
0.0000 0.0000 0.0000
0.2500 0.2500 0.2500
0.7500 0.7500 0.7500
```

2.
Computed, not measured: a relaxed structure of TlBPtBr2 at the GGA-PBE level of DFT.

Properties
V: 109 Å³/cell
electronic total energy: -2.732 eV per atom
space group: P4/mmm
Fermi-level density of states: 6.219 states/eV per cell
raw formation energy: 954 meV/atom

POSCAR file:
```
TlBPtBr2
1.0
4.8581 0.0000 0.0000
0.0000 4.6034 0.0000
0.0000 0.0000 4.8581
Tl B Br Pt
1 1 2 1
direct
0.0000 0.5000 0.0000
0.0000 0.0000 0.0000
0.0000 0.0000 0.5000
0.5000 0.0000 0.0000
0.5000 0.5000 0.5000
```

3.
Computed, not measured: a relaxed structure of CdW2Br at the GGA-PBE level of DFT.

Properties
V: 71 Å³/cell
electronic total energy: -6.157 eV per atom
space group: R-3m
Fermi-level density of states: 3.925 states/eV per cell
energy above the most stable polymorph in this dataset: 0.5814 eV per atom
raw formation energy: 967 meV/atom

POSCAR file:
```
CdW2Br
1.0
9.4618 -0.0053 -0.0031
8.9975 2.9273 -0.0031
8.9975 1.4242 2.5575
Br W Cd
1 2 1
direct
0.2500 0.2500 0.2500
0.9953 0.9953 0.9953
0.5047 0.5047 0.5047
0.7500 0.7500 0.7500
```

4.
Computed, not measured: a relaxed structure of KGa3Tc at the GGA-PBE level of DFT.

Properties
V: 315 Å³/cell
ΔH_f (0 K): 463 meV/atom
electronic total energy: -3.645 eV per atom
space group: P6_3/mmc
Fermi-level density of states: 5.548 states/eV per cell
energy above the most stable polymorph in this dataset: 0.6401 eV per atom

POSCAR file:
```
KGa3Tc
1.0
3.6955 -2.1336 0.0000
0.0000 4.2672 0.0000
0.0000 0.0000 19.9650
K Tc Ga
2 2 6
direct
0.0000 0.0000 0.0000
0.0000 0.0000 0.5000
0.3333 0.6667 0.7500
0.6667 0.3333 0.2500
0.0000 0.0000 0.2500
0.0000 0.0000 0.7500
0.3333 0.6667 0.8687
0.3333 0.6667 0.6313
0.6667 0.3333 0.3687
0.6667 0.3333 0.1313
```